A PBEsol-optimized structure of TiCr2Br. Source: Alexandria via LeMat-Bulk, functional meta-GGA SCAN.

Cell and atoms, written as POSCAR:
```
TiCr2Br
1.0
-0.228 3.686 -2.033
-3.235 2.606 0.718
0.622 3.605 2.096
Br Ti Cr
1 1 2
direct
0.500 0.500 0.500 Br
0.000 0.000 0.000 Ti
0.750 0.750 0.750 Cr
0.250 0.250 0.250 Cr
```

## Properties
D(E_F), states/eV/f.u.: 2.7
Formation energy without anion corrections, eV/atom: 0.87
Total moment, μB per formula unit: 2.1

---

A PBEsol-optimized structure of TlIn3Si. Source: Alexandria via LeMat-Bulk, functional meta-GGA SCAN.

Cell and atoms, written as POSCAR:
```
TlIn3Si
1.0
5.496 0.000 0.000
0.000 5.496 0.000
0.000 0.000 5.496
In Si Tl
3 1 1
direct
0.000 0.000 0.500 In
0.500 0.000 0.000 In
0.000 0.500 0.000 In
0.500 0.500 0.500 Si
0.000 0.000 0.000 Tl
```

## Properties
D(E_F), states/eV/f.u.: 4.7
Formation energy without anion corrections, eV/atom: 0.99
Total moment, μB per formula unit: 0.0

---

A PBEsol-optimized structure of CsHfCoSb2. Source: Alexandria via LeMat-Bulk, functional meta-GGA SCAN.

Cell and atoms, written as POSCAR:
```
CsHfCoSb2
1.0
-3.298 -2.011 2.988
3.745 -1.416 3.181
-0.443 4.440 2.499
Hf Sb Co Cs
1 2 1 1
direct
0.500 0.000 0.000 Hf
0.000 0.000 0.500 Sb
0.000 0.500 0.000 Sb
0.000 0.000 0.000 Co
0.500 0.500 0.500 Cs
```

## Properties
D(E_F), states/eV/f.u.: 4.7
Formation energy without anion corrections, eV/atom: 0.50
Total moment, μB per formula unit: 0.0

---

A PBEsol-optimized structure of Dy3Mg2VS8. Source: Alexandria via LeMat-Bulk, functional meta-GGA SCAN.

Cell and atoms, written as POSCAR:
```
Dy3Mg2VS8
1.0
7.584 -0.010 -0.007
3.679 6.632 -0.007
3.679 2.163 6.269
S Mg V Dy
8 2 1 3
direct
0.270 0.729 0.270 S
0.730 0.271 0.730 S
0.729 0.270 0.270 S
0.730 0.730 0.271 S
0.254 0.254 0.254 S
0.270 0.270 0.729 S
0.271 0.730 0.730 S
0.746 0.746 0.746 S
0.876 0.876 0.876 Mg
0.124 0.124 0.124 Mg
0.500 0.500 0.500 V
0.500 0.000 0.500 Dy
0.500 0.500 0.000 Dy
0.000 0.500 0.500 Dy
```

## Properties
D(E_F), states/eV/f.u.: 5.5
Formation energy without anion corrections, eV/atom: -1.89
Total moment, μB per formula unit: 2.0

---

A PBEsol-optimized structure of CsDySiS4. Source: Alexandria via LeMat-Bulk, functional meta-GGA SCAN.

Cell and atoms, written as POSCAR:
```
CsDySiS4
1.0
6.286 0.000 0.000
0.000 6.589 0.000
0.000 0.000 17.521
Si S Dy Cs
4 16 4 4
direct
0.709 0.483 0.668 Si
0.209 0.017 0.332 Si
0.291 0.983 0.832 Si
0.791 0.517 0.168 Si
0.436 0.251 0.353 S
0.607 0.424 0.781 S
0.393 0.924 0.719 S
0.936 0.249 0.647 S
0.107 0.076 0.219 S
0.064 0.749 0.853 S
0.558 0.987 0.905 S
0.942 0.013 0.405 S
0.893 0.576 0.281 S
0.103 0.251 0.845 S
0.058 0.513 0.095 S
0.442 0.487 0.595 S
0.564 0.751 0.147 S
0.897 0.751 0.655 S
0.603 0.249 0.155 S
0.397 0.749 0.345 S
0.707 0.980 0.272 Dy
0.793 0.020 0.772 Dy
0.207 0.520 0.728 Dy
0.293 0.480 0.228 Dy
0.487 0.492 0.968 Cs
0.013 0.508 0.468 Cs
0.513 0.992 0.532 Cs
0.987 0.008 0.032 Cs
```

## Properties
D(E_F), states/eV/f.u.: 0.0
Formation energy without anion corrections, eV/atom: -1.65
Total moment, μB per formula unit: 0.0

---

A PBEsol-optimized structure of Al2TcBr. Source: Alexandria via LeMat-Bulk, functional meta-GGA SCAN.

Cell and atoms, written as POSCAR:
```
Al2TcBr
1.0
2.973 0.000 0.000
1.486 2.574 0.000
1.486 0.858 9.155
Tc Al Br
1 2 1
direct
0.251 0.251 0.247 Tc
0.991 0.991 0.026 Al
0.741 0.741 0.777 Al
0.516 0.516 0.451 Br
```

## Properties
D(E_F), states/eV/f.u.: 1.8
Energy above the lowest structure with this stoichiometry, meV per atom: 370
Formation energy without anion corrections, eV/atom: 0.25
Total moment, μB per formula unit: 0.0

---

Which formula does entry 4 have?
Dy3Mg2VS8

---

Which of these has the highest formation energy without anion corrections?
TlIn3Si